The following is a DFT calculation (GGA-PBE) of an optimized crystal structure of Ca2La3Ge3.

Cell and atoms, written as CIF:
```
data_Ca2La3Ge3
_chemical_formula_sum 'Ca4 La6 Ge6'
_cell_length_a 6.683
_cell_length_b 9.017
_cell_length_c 9.017
_cell_angle_alpha 120.00
_cell_angle_beta 90.00
_cell_angle_gamma 90.00
_symmetry_space_group_name_H-M 'P 1'
_symmetry_Int_Tables_number 1
_symmetry_space_group_name_Hall 'P 1'
loop_
_atom_site_label
_atom_site_fract_x
_atom_site_fract_y
_atom_site_fract_z
Ca1 0.000 0.333 0.667
Ca2 0.500 0.667 0.333
Ca3 0.000 0.667 0.333
Ca4 0.500 0.333 0.667
La1 0.750 0.272 0.000
La2 0.750 0.728 0.728
La3 0.750 0.000 0.272
La4 0.250 0.728 0.000
La5 0.250 0.272 0.272
La6 0.250 0.000 0.728
Ge1 0.750 0.623 0.000
Ge2 0.750 0.377 0.377
Ge3 0.750 0.000 0.623
Ge4 0.250 0.377 0.000
Ge5 0.250 0.623 0.623
Ge6 0.250 0.000 0.377
```

## Properties
The formation energy comes out at -720 meV per atom. Its crystal system is hexagonal. The calculation puts the spin magnetization at 0.8 μB/f.u. As for the total energy: -76.79 eV/cell.

The following is a DFT calculation (GGA-PBE) of an optimized crystal structure of CaLa2Ge2.

Cell and atoms, written as CIF:
```
data_CaLa2Ge2
_chemical_formula_sum 'Ca2 La4 Ge4'
_cell_length_a 8.799
_cell_length_b 8.799
_cell_length_c 3.619
_cell_angle_alpha 90.00
_cell_angle_beta 90.00
_cell_angle_gamma 90.00
_symmetry_space_group_name_H-M 'P 1'
_symmetry_Int_Tables_number 1
_symmetry_space_group_name_Hall 'P 1'
loop_
_atom_site_label
_atom_site_fract_x
_atom_site_fract_y
_atom_site_fract_z
Ge1 0.174 0.674 0.500
Ge2 0.674 0.826 0.500
Ge3 0.826 0.326 0.500
Ge4 0.326 0.174 0.500
Ca1 0.000 0.000 0.000
Ca2 0.500 0.500 0.000
La1 0.374 0.874 0.000
La2 0.874 0.626 0.000
La3 0.626 0.126 0.000
La4 0.126 0.374 0.000
```

## Properties
The formation energy comes out at -524 meV per atom. Its crystal system is tetragonal. As for the polymorph energy (0 for the lowest one): 187 meV/atom. The calculation puts the spin magnetization at 0.0 μB/f.u. As for the total energy: -47.42 eV/cell.

The following is a DFT calculation (GGA-PBE) of an optimized crystal structure of CaLa2Ge.

Cell and atoms, written as CIF:
```
data_CaLa2Ge
_chemical_formula_sum 'Ca1 La2 Ge1'
_cell_length_a 4.209
_cell_length_b 4.209
_cell_length_c 10.540
_cell_angle_alpha 78.48
_cell_angle_beta 78.48
_cell_angle_gamma 60.00
_symmetry_space_group_name_H-M 'P 1'
_symmetry_Int_Tables_number 1
_symmetry_space_group_name_Hall 'P 1'
loop_
_atom_site_label
_atom_site_fract_x
_atom_site_fract_y
_atom_site_fract_z
Ca1 0.501 0.501 0.498
La1 0.057 0.057 0.830
La2 0.277 0.277 0.170
Ge1 0.666 0.666 0.001
```

## Properties
The formation energy comes out at -305 meV per atom. Its crystal system is trigonal. The calculation puts the spin magnetization at 0.3 μB/f.u. As for the total energy: -17.69 eV/cell.

The following is a DFT calculation (GGA-PBE) of an optimized crystal structure of CaLa2Ge.

Cell and atoms, written as CIF:
```
data_CaLa2Ge
_chemical_formula_sum 'Ca1 La2 Ge1'
_cell_length_a 4.886
_cell_length_b 4.907
_cell_length_c 4.907
_cell_angle_alpha 90.00
_cell_angle_beta 90.00
_cell_angle_gamma 90.00
_symmetry_space_group_name_H-M 'P 1'
_symmetry_Int_Tables_number 1
_symmetry_space_group_name_Hall 'P 1'
loop_
_atom_site_label
_atom_site_fract_x
_atom_site_fract_y
_atom_site_fract_z
Ge1 0.500 0.000 0.000
Ca1 0.500 0.500 0.500
La1 0.000 0.000 0.500
La2 0.000 0.500 0.000
```

## Properties
The formation energy comes out at -308 meV per atom. Its crystal system is tetragonal. The calculation puts the spin magnetization at 0.0 μB/f.u. As for the total energy: -17.71 eV/cell.

Which formula does entry 4 have?
CaLa2Ge

Which formula does entry 4 have?
CaLa2Ge

Which value of total energy does entry 1 give?
-76.79 eV/cell